[1]
8
Lattice="3.947 0.000 0.000 0.000 5.297 0.000 0.000 0.000 8.494" Properties=species:S:1:pos:R:3 comment="GGA-PBE ScNiTe2, optimized geometry" e_above_lowest_polymorph_ev_per_atom=0.279 dos_at_fermi_per_ev_fu=3.70 spacegroup="No. 71" energy_ev_per_atom=-4.993 mass_density_kg_m3=6712 magmom_total_mub_per_fu=0.00 pbc="T T T"
Sc 0.000 0.000 0.000
Sc 1.973 2.648 4.247
Ni 0.000 0.000 4.247
Ni 1.973 2.648 0.000
Te 0.000 2.648 1.638
Te 0.000 2.648 6.856
Te 1.973 0.000 2.609
Te 1.973 0.000 5.885

***

[2]
11
Lattice="-1.836 7.222 4.500 1.836 -7.222 4.500 1.836 7.222 -4.500" Properties=species:S:1:pos:R:3 comment="GGA-PBE Sc7Ni2Te2, optimized geometry" dos_at_fermi_per_ev_fu=10.88 spacegroup="No. 44" energy_ev_per_atom=-6.299 mass_density_kg_m3=4782 magmom_total_mub_per_fu=0.00 pbc="T T T"
Sc 0.000 0.000 0.000
Sc 1.836 5.280 -0.738
Sc 1.836 2.688 1.130
Sc 0.000 1.942 3.762
Sc 0.000 5.106 2.456
Sc 0.000 9.338 2.456
Sc 0.000 4.534 5.630
Ni 1.836 -3.824 3.913
Ni 1.836 3.824 3.913
Te 1.836 0.000 2.379
Te 0.000 0.000 5.976

***

[3]
4
Lattice="3.543 0.000 0.000 0.000 3.534 0.000 -0.012 0.000 6.353" Properties=species:S:1:pos:R:3 comment="GGA-PBE Sc2NiTe, optimized geometry" dos_at_fermi_per_ev_fu=2.90 spacegroup="No. 10" energy_ev_per_atom=-5.966 mass_density_kg_m3=5764 magmom_total_mub_per_fu=0.55 pbc="T T T"
Sc -0.001 0.000 1.728
Sc 3.532 0.000 4.625
Ni 1.766 1.767 3.177
Te 1.772 1.767 0.000

***

[4]
24
Lattice="7.655 0.000 0.000 0.000 3.698 0.000 0.000 0.000 18.007" Properties=species:S:1:pos:R:3 comment="GGA-PBE Sc4NiTe, optimized geometry" e_above_lowest_polymorph_ev_per_atom=0.000 dos_at_fermi_per_ev_fu=6.40 spacegroup="No. 62" energy_ev_per_atom=-6.304 mass_density_kg_m3=4771 magmom_total_mub_per_fu=0.00 pbc="T T T"
Sc 0.091 0.925 1.210
Sc 0.346 2.774 3.822
Sc 1.080 2.774 11.676
Sc 1.084 2.774 8.119
Sc 2.744 0.925 17.123
Sc 2.747 0.925 2.673
Sc 3.481 0.925 12.825
Sc 3.736 2.774 10.214
Sc 3.918 0.925 7.793
Sc 4.174 2.774 5.182
Sc 4.907 2.774 15.334
Sc 4.911 2.774 0.884
Sc 6.571 0.925 9.888
Sc 6.575 0.925 6.331
Sc 7.309 0.925 14.185
Sc 7.564 2.774 16.796
Ni 1.821 0.925 9.943
Ni 2.006 2.774 0.939
Ni 5.649 0.925 17.067
Ni 5.833 2.774 8.064
Te 1.844 0.925 5.630
Te 1.984 2.774 14.633
Te 5.671 0.925 3.373
Te 5.811 2.774 12.377

***

[5]
6
Lattice="0.000 4.058 4.058 4.058 0.000 4.058 4.058 4.058 0.000" Properties=species:S:1:pos:R:3 comment="GGA-PBE Sc4NiTe, optimized geometry" e_above_lowest_polymorph_ev_per_atom=0.885 dos_at_fermi_per_ev_fu=10.10 spacegroup="No. 216" energy_ev_per_atom=-5.419 mass_density_kg_m3=4550 magmom_total_mub_per_fu=0.03 pbc="T T T"
Sc 1.018 1.018 1.018
Sc 3.040 3.040 1.018
Sc 3.040 1.018 3.040
Sc 1.018 3.040 3.040
Ni 4.058 4.058 4.058
Te 6.087 6.087 6.087

***

[6]
12
Lattice="3.874 0.000 0.000 -1.937 3.355 0.000 0.000 0.000 20.135" Properties=species:S:1:pos:R:3 comment="GGA-PBE Sc2NiTe, optimized geometry" dos_at_fermi_per_ev_fu=2.62 spacegroup="No. 166" energy_ev_per_atom=-6.048 mass_density_kg_m3=5258 magmom_total_mub_per_fu=0.00 pbc="T T T"
Sc 0.000 0.000 4.725
Sc 0.000 0.000 15.410
Sc 0.000 2.237 8.698
Sc 0.000 2.237 18.148
Sc 1.937 1.118 1.986
Sc 1.937 1.118 11.437
Ni 0.000 0.000 10.067
Ni 0.000 2.237 3.356
Ni 1.937 1.118 16.779
Te 0.000 0.000 0.000
Te 0.000 2.237 13.423
Te 1.937 1.118 6.712

***

[7]
16
Lattice="7.068 0.000 0.000 0.000 7.068 0.000 0.000 0.000 7.068" Properties=species:S:1:pos:R:3 comment="GGA-PBE ScNiTe2, optimized geometry" e_above_lowest_polymorph_ev_per_atom=0.714 dos_at_fermi_per_ev_fu=3.38 spacegroup="No. 216" energy_ev_per_atom=-4.558 mass_density_kg_m3=6751 magmom_total_mub_per_fu=0.00 pbc="T T T"
Sc 0.000 0.000 0.000
Sc 0.000 3.534 3.534
Sc 3.534 0.000 3.534
Sc 3.534 3.534 0.000
Ni 1.767 1.767 5.301
Ni 1.767 5.301 1.767
Ni 5.301 1.767 1.767
Ni 5.301 5.301 5.301
Te 0.000 0.000 3.534
Te 0.000 3.534 0.000
Te 1.767 1.767 1.767
Te 1.767 5.301 5.301
Te 3.534 0.000 0.000
Te 3.534 3.534 3.534
Te 5.301 1.767 5.301
Te 5.301 5.301 1.767

***

[8]
12
Lattice="4.103 0.000 0.000 -2.052 3.554 0.000 0.000 0.000 21.069" Properties=species:S:1:pos:R:3 comment="GGA-PBE ScNiTe2, optimized geometry" e_above_lowest_polymorph_ev_per_atom=0.037 dos_at_fermi_per_ev_fu=3.62 spacegroup="No. 160" energy_ev_per_atom=-5.235 mass_density_kg_m3=5819 magmom_total_mub_per_fu=0.00 pbc="T T T"
Sc 0.000 0.000 0.000
Sc 0.000 2.369 14.046
Sc 2.052 1.185 7.023
Ni 0.000 0.000 5.492
Ni 0.000 2.369 19.538
Ni 2.052 1.185 12.515
Te 0.000 0.000 11.842
Te 0.000 0.000 15.705
Te 0.000 2.369 4.819
Te 0.000 2.369 8.683
Te 2.052 1.185 1.660
Te 2.052 1.185 18.865

***

[9]
16
Lattice="7.277 0.000 0.000 0.000 7.277 0.000 0.000 0.000 6.505" Properties=species:S:1:pos:R:3 comment="GGA-PBE Sc2NiTe, optimized geometry" dos_at_fermi_per_ev_fu=2.33 spacegroup="No. 122" energy_ev_per_atom=-5.812 mass_density_kg_m3=5326 magmom_total_mub_per_fu=0.00 pbc="T T T"
Sc 1.465 1.819 0.813
Sc 1.819 5.103 2.439
Sc 1.819 5.813 5.692
Sc 2.174 1.819 4.065
Sc 5.103 5.458 4.065
Sc 5.458 1.465 5.692
Sc 5.458 2.174 2.439
Sc 5.813 5.458 0.813
Ni 0.000 0.000 0.000
Ni 0.000 3.639 1.626
Ni 3.639 0.000 4.879
Ni 3.639 3.639 3.252
Te 0.000 0.000 3.252
Te 0.000 3.639 4.879
Te 3.639 0.000 1.626
Te 3.639 3.639 0.000

***

[10]
8
Lattice="6.787 0.000 0.000 0.000 6.784 0.000 -0.009 0.000 3.591" Properties=species:S:1:pos:R:3 comment="GGA-PBE ScNiTe2, optimized geometry" e_above_lowest_polymorph_ev_per_atom=0.289 dos_at_fermi_per_ev_fu=2.29 spacegroup="No. 12" energy_ev_per_atom=-4.983 mass_density_kg_m3=7207 magmom_total_mub_per_fu=0.00 pbc="T T T"
Sc 0.000 0.000 0.000
Sc 3.394 3.392 0.000
Ni 0.000 3.392 0.000
Ni 3.394 0.000 0.000
Te 1.692 1.696 1.795
Te 1.692 5.088 1.795
Te 5.086 1.696 1.795
Te 5.086 5.088 1.795

***

[11]
4
Lattice="3.880 0.000 0.000 0.000 3.919 0.000 -1.936 0.000 5.309" Properties=species:S:1:pos:R:3 comment="GGA-PBE Sc2NiTe, optimized geometry" dos_at_fermi_per_ev_fu=4.38 spacegroup="No. 6" energy_ev_per_atom=-6.098 mass_density_kg_m3=5680 magmom_total_mub_per_fu=0.00 pbc="T T T"
Sc 0.000 0.000 0.000
Sc 0.003 1.960 3.260
Ni 1.958 0.000 2.728
Te 1.941 1.960 0.954

***

[12]
8
Lattice="3.692 0.000 0.000 0.000 3.724 0.000 0.000 0.000 14.755" Properties=species:S:1:pos:R:3 comment="GGA-PBE ScNiTe2, optimized geometry" e_above_lowest_polymorph_ev_per_atom=0.108 dos_at_fermi_per_ev_fu=2.45 spacegroup="No. 44" energy_ev_per_atom=-5.164 mass_density_kg_m3=5874 magmom_total_mub_per_fu=0.00 pbc="T T T"
Sc 0.000 0.000 0.000
Sc 1.846 1.862 7.377
Ni 0.000 1.862 4.901
Ni 1.846 0.000 12.278
Te 0.000 0.000 8.693
Te 0.000 1.862 12.438
Te 1.846 0.000 5.061
Te 1.846 1.862 1.316

***

[13]
16
Lattice="6.204 0.000 0.000 0.000 6.204 0.000 0.000 0.000 12.308" Properties=species:S:1:pos:R:3 comment="GGA-PBE ScNiTe2, optimized geometry" e_above_lowest_polymorph_ev_per_atom=0.192 dos_at_fermi_per_ev_fu=5.47 spacegroup="No. 122" energy_ev_per_atom=-5.081 mass_density_kg_m3=5031 magmom_total_mub_per_fu=1.00 pbc="T T T"
Sc 0.000 0.000 0.000
Sc 0.000 3.102 3.077
Sc 3.102 0.000 9.231
Sc 3.102 3.102 6.154
Ni 0.000 0.000 6.154
Ni 0.000 3.102 9.231
Ni 3.102 0.000 3.077
Ni 3.102 3.102 0.000
Te 1.313 1.551 7.692
Te 1.551 4.415 10.769
Te 1.551 4.891 4.615
Te 1.789 1.551 1.538
Te 4.415 4.653 1.538
Te 4.653 1.313 4.615
Te 4.653 1.789 10.769
Te 4.891 4.653 7.692

***

[14]
8
Lattice="4.315 0.000 0.000 0.000 5.688 0.000 0.000 0.000 7.172" Properties=species:S:1:pos:R:3 comment="GGA-PBE ScNiTe2, optimized geometry" e_above_lowest_polymorph_ev_per_atom=0.411 dos_at_fermi_per_ev_fu=2.94 spacegroup="No. 65" energy_ev_per_atom=-4.861 mass_density_kg_m3=6770 magmom_total_mub_per_fu=0.00 pbc="T T T"
Sc 0.000 0.000 0.000
Sc 2.158 2.844 0.000
Ni 0.000 0.000 3.586
Ni 2.158 2.844 3.586
Te 0.000 2.844 1.917
Te 0.000 2.844 5.256
Te 2.158 0.000 1.917
Te 2.158 0.000 5.256

***

[15]
4
Lattice="3.897 0.000 0.000 0.000 3.681 0.000 -1.577 0.000 6.459" Properties=species:S:1:pos:R:3 comment="GGA-PBE ScNiTe2, optimized geometry" e_above_lowest_polymorph_ev_per_atom=0.214 dos_at_fermi_per_ev_fu=2.87 spacegroup="No. 10" energy_ev_per_atom=-5.058 mass_density_kg_m3=6432 magmom_total_mub_per_fu=0.00 pbc="T T T"
Sc 0.000 0.000 0.000
Ni -0.789 0.000 3.230
Te 0.062 1.840 4.780
Te 2.258 1.840 1.679

***

[16]
12
Lattice="7.990 -3.199 0.000 7.990 3.199 0.000 -2.115 0.000 5.676" Properties=species:S:1:pos:R:3 comment="GGA-PBE Sc4NiTe, optimized geometry" e_above_lowest_polymorph_ev_per_atom=0.190 dos_at_fermi_per_ev_fu=6.12 spacegroup="No. 15" energy_ev_per_atom=-6.114 mass_density_kg_m3=4190 magmom_total_mub_per_fu=0.00 pbc="T T T"
Sc 1.556 0.461 1.055
Sc 0.498 -0.461 3.893
Sc 4.646 0.618 1.018
Sc 3.589 -0.618 3.856
Sc 10.277 0.618 1.820
Sc 9.220 -0.618 4.658
Sc 13.367 0.461 1.784
Sc 12.310 -0.461 4.622
Ni 2.938 1.600 2.838
Ni 3.995 -1.600 0.000
Te 7.462 1.514 1.419
Te 6.404 -1.514 4.257

***

[17]
16
Lattice="-3.479 3.479 6.652 3.479 -3.479 6.652 3.479 3.479 -6.652" Properties=species:S:1:pos:R:3 comment="GGA-PBE Sc5Ni2Te, optimized geometry" dos_at_fermi_per_ev_fu=6.32 spacegroup="No. 140" energy_ev_per_atom=-6.369 mass_density_kg_m3=4845 magmom_total_mub_per_fu=0.00 pbc="T T T"
Sc 0.000 0.000 0.000
Sc 4.563 1.084 -1.812
Sc 1.084 2.395 -1.812
Sc 4.563 1.084 1.812
Sc 1.084 2.395 1.812
Sc 0.000 0.000 6.652
Sc 2.395 1.084 4.840
Sc -1.084 2.395 4.840
Sc 2.395 1.084 8.463
Sc -1.084 2.395 8.463
Ni 2.540 0.938 0.000
Ni 2.540 -0.938 6.652
Ni 0.938 4.417 0.000
Ni 0.938 2.540 6.652
Te 0.000 0.000 3.326
Te 0.000 0.000 9.977

***

[18]
12
Lattice="4.063 0.000 0.000 -2.031 3.519 0.000 0.000 0.000 19.394" Properties=species:S:1:pos:R:3 comment="GGA-PBE ScNiTe2, optimized geometry" e_above_lowest_polymorph_ev_per_atom=0.156 dos_at_fermi_per_ev_fu=3.79 spacegroup="No. 166" energy_ev_per_atom=-5.116 mass_density_kg_m3=6447 magmom_total_mub_per_fu=0.92 pbc="T T T"
Sc 0.000 0.000 0.000
Sc 0.000 2.346 12.929
Sc 2.031 1.173 6.465
Ni 0.000 0.000 9.697
Ni 0.000 2.346 3.232
Ni 2.031 1.173 16.161
Te 0.000 0.000 4.686
Te 0.000 0.000 14.708
Te 0.000 2.346 8.244
Te 0.000 2.346 17.615
Te 2.031 1.173 1.779
Te 2.031 1.173 11.150

***

[19]
4
Lattice="3.563 0.000 0.000 0.000 3.563 0.000 0.000 0.000 6.648" Properties=species:S:1:pos:R:3 comment="GGA-PBE ScNiTe2, optimized geometry" e_above_lowest_polymorph_ev_per_atom=0.419 dos_at_fermi_per_ev_fu=4.94 spacegroup="No. 123" energy_ev_per_atom=-4.853 mass_density_kg_m3=7062 magmom_total_mub_per_fu=0.00 pbc="T T T"
Sc 0.000 0.000 0.000
Ni 0.000 0.000 3.324
Te 1.781 1.781 1.714
Te 1.781 1.781 4.934

***

[20]
36
Lattice="17.934 0.000 0.000 0.000 3.970 0.000 0.000 0.000 10.672" Properties=species:S:1:pos:R:3 comment="GGA-PBE Sc5Ni2Te2, optimized geometry" dos_at_fermi_per_ev_fu=8.44 spacegroup="No. 62" energy_ev_per_atom=-6.278 mass_density_kg_m3=5222 magmom_total_mub_per_fu=0.00 pbc="T T T"
Sc 0.348 0.993 1.843
Sc 1.306 2.978 5.975
Sc 2.375 0.993 8.574
Sc 2.718 2.978 3.018
Sc 4.055 0.993 5.123
Sc 4.912 2.978 10.459
Sc 6.249 0.993 8.355
Sc 6.592 2.978 3.238
Sc 7.661 0.993 0.638
Sc 8.620 2.978 7.180
Sc 9.315 0.993 3.493
Sc 10.274 2.978 10.034
Sc 11.342 0.993 7.434
Sc 11.685 2.978 2.318
Sc 13.023 0.993 0.213
Sc 13.879 2.978 5.549
Sc 15.216 0.993 7.654
Sc 15.559 2.978 2.098
Sc 16.628 0.993 4.698
Sc 17.587 2.978 8.829
Ni 0.092 0.993 7.197
Ni 1.512 0.993 4.234
Ni 7.455 2.978 9.570
Ni 8.875 2.978 1.861
Ni 9.059 0.993 8.811
Ni 10.479 0.993 1.102
Ni 16.422 2.978 6.438
Ni 17.843 2.978 3.475
Te 1.934 2.978 0.102
Te 4.172 2.978 7.382
Te 4.795 0.993 2.046
Te 7.034 0.993 5.438
Te 10.901 2.978 5.234
Te 13.140 2.978 8.626
Te 13.762 0.993 3.290
Te 16.001 0.993 10.570